(1)
A plane-wave DFT calculation with PBE-GGA was carried out for a geometry-optimized DyCuNiP2 structure.

Unit cell a=3.8511 b=3.8511 c=5.6943 alpha=109.76 beta=109.76 gamma=90.00
Fractional positions:
Dy 0.0000 0.0000 0.0000
Cu 0.2500 0.7500 0.5000
Ni 0.7500 0.2500 0.5000
P 0.6212 0.6212 0.2424
P 0.3788 0.3788 0.7576

Energy of formation from the pure elements   -0.803 eV/atom
Volume   14.834 Å³ per atom

---

(2)
A plane-wave DFT calculation with PBE-GGA was carried out for a geometry-optimized DyPaCuNi structure.

Unit cell a=4.8192 b=4.8192 c=4.8192 alpha=60.00 beta=60.00 gamma=60.00
Fractional positions:
Ni 0.5000 0.5000 0.5000
Pa 0.7500 0.7500 0.7500
Cu 0.0000 0.0000 0.0000
Dy 0.2500 0.2500 0.2500

Energy of formation from the pure elements   -0.085 eV/atom
Volume   19.786 Å³ per atom

---

(3)
A plane-wave DFT calculation with PBE-GGA was carried out for a geometry-optimized DyCuNiPb structure.

Unit cell a=4.7077 b=4.7077 c=4.7077 alpha=60.00 beta=60.00 gamma=60.00
Fractional positions:
Pb 0.5000 0.5000 0.5000
Ni 0.7500 0.7500 0.7500
Cu 0.2500 0.2500 0.2500
Dy 0.0000 0.0000 0.0000

Energy of formation from the pure elements   -0.229 eV/atom
Volume   18.444 Å³ per atom

---

(4)
A plane-wave DFT calculation with PBE-GGA was carried out for a geometry-optimized DyCuNiPd structure.

Unit cell a=4.5265 b=4.5265 c=4.5265 alpha=60.00 beta=60.00 gamma=60.00
Fractional positions:
Ni 0.2500 0.2500 0.2500
Cu 0.5000 0.5000 0.5000
Pd 0.7500 0.7500 0.7500
Dy 0.0000 0.0000 0.0000

Energy of formation from the pure elements   -0.342 eV/atom
Volume   16.395 Å³ per atom

---

(5)
A plane-wave DFT calculation with PBE-GGA was carried out for a geometry-optimized PmDyCuNi structure.

Unit cell a=4.9075 b=4.9075 c=4.9075 alpha=60.00 beta=60.00 gamma=60.00
Fractional positions:
Ni 0.2500 0.2500 0.2500
Pm 0.0000 0.0000 0.0000
Cu 0.7500 0.7500 0.7500
Dy 0.5000 0.5000 0.5000

Energy of formation from the pure elements   -0.265 eV/atom
Volume   20.893 Å³ per atom

---

(6)
A plane-wave DFT calculation with PBE-GGA was carried out for a geometry-optimized PmDyCuNi structure.

Unit cell a=3.7665 b=4.4324 c=5.5082 alpha=90.00 beta=109.99 gamma=90.00
Fractional positions:
Pm 0.1405 0.0000 0.2810
Dy 0.8624 0.5000 0.7247
Cu 0.5692 0.5000 0.1384
Ni 0.4279 0.0000 0.8559

Energy of formation from the pure elements   -0.309 eV/atom
Volume   21.604 Å³ per atom

---

(7)
A plane-wave DFT calculation with PBE-GGA was carried out for a geometry-optimized Pr2DyCu12Ni3 structure.

Unit cell a=9.0685 b=9.0685 c=9.0685 alpha=42.28 beta=42.28 gamma=42.28
Fractional positions:
Pr 0.6388 0.6388 0.6388
Pr 0.3612 0.3612 0.3612
Dy 0.0000 0.0000 0.0000
Cu 0.4123 0.4123 0.7964
Cu 0.8716 0.8716 0.4687
Cu 0.4687 0.8716 0.8716
Cu 0.7964 0.4123 0.4123
Cu 0.8716 0.4687 0.8716
Cu 0.4123 0.7964 0.4123
Cu 0.5877 0.5877 0.2036
Cu 0.1284 0.1284 0.5313
Cu 0.5313 0.1284 0.1284
Cu 0.2036 0.5877 0.5877
Cu 0.1284 0.5313 0.1284
Cu 0.5877 0.2036 0.5877
Ni 0.5000 0.0000 0.0000
Ni 0.0000 0.5000 0.0000
Ni 0.0000 0.0000 0.5000

Energy of formation from the pure elements   0.273 eV/atom
Volume   16.970 Å³ per atom

---

(8)
A plane-wave DFT calculation with PBE-GGA was carried out for a geometry-optimized DyCuNiRh structure.

Unit cell a=4.4702 b=4.4702 c=4.4702 alpha=60.00 beta=60.00 gamma=60.00
Fractional positions:
Ni 0.0000 0.0000 0.0000
Rh 0.5000 0.5000 0.5000
Cu 0.2500 0.2500 0.2500
Dy 0.7500 0.7500 0.7500

Energy of formation from the pure elements   -0.291 eV/atom
Volume   15.791 Å³ per atom

---

Q: Look up the volume of the third one.
A: 18.444 Å³ per atom

---

Q: Which value of energy of formation from the pure elements does entry 3 give?
A: -0.229 eV/atom

---

Q: volume of number 6 (PmDyCuNi)?
A: 21.604 Å³ per atom

---

Q: What is the energy of formation from the pure elements in the third record?
A: -0.229 eV/atom